# Ac12Ru2Rh5 GGA-PBE relaxed
# Density of states at the Fermi level (states/eV/f.u.): 13.782
# Energy (eV/atom): -5.92
# Calculated volume (Å³/cell): 1277.2
data_Ac12Ru2Rh5
_chemical_formula_sum 'Ac24 Ru4 Rh10'
_symmetry_space_group_name_H-M 'C 1 2/m 1'
_symmetry_Int_Tables_number 12
_symmetry_space_group_name_Hall '-C 2y'
_cell_length_a 16.669
_cell_length_b 7.929
_cell_length_c 10.074
_cell_angle_alpha 90.00
_cell_angle_beta 106.41
_cell_angle_gamma 90.00
loop_
_atom_site_label
_atom_site_fract_x
_atom_site_fract_y
_atom_site_fract_z
Ac1 0.009 0.000 0.303
Ac2 0.042 0.500 0.299
Ac3 0.143 0.246 0.045
Ac4 0.178 0.244 0.619
Ru1 0.000 0.296 0.500
Rh1 0.000 0.500 0.000
Rh2 0.187 0.000 0.342
Rh3 0.202 0.000 0.860

***

# Ac2CoN3 GGA-PBE relaxed
# Formation energy from raw total energies (meV per atom): -564
# Density of states at the Fermi level (states/eV/f.u.): 3.124
# Calculated volume (Å³/cell): 961.3
data_Ac2CoN3
_chemical_formula_sum 'Ac16 Co8 N24'
_symmetry_space_group_name_H-M 'F m m m'
_symmetry_Int_Tables_number 69
_symmetry_space_group_name_Hall '-F 2 2'
_cell_length_a 7.426
_cell_length_b 10.674
_cell_length_c 12.127
_cell_angle_alpha 90.00
_cell_angle_beta 90.00
_cell_angle_gamma 90.00
loop_
_atom_site_label
_atom_site_fract_x
_atom_site_fract_y
_atom_site_fract_z
Ac1 0.229 0.000 0.000
Ac2 0.250 0.250 0.250
Co1 0.000 0.000 0.229
N1 0.000 0.000 0.370
N2 0.000 0.134 0.140

***

# LaTb3As4 GGA-PBE relaxed
# Density of states at the Fermi level (states/eV/f.u.): 0.834
# Energy (eV/atom): -6.21
# Calculated volume (Å³/cell): 419.2
data_LaTb3As4
_chemical_formula_sum 'La2 Tb6 As8'
_symmetry_space_group_name_H-M 'C m m m'
_symmetry_Int_Tables_number 65
_symmetry_space_group_name_Hall '-C 2 2'
_cell_length_a 8.403
_cell_length_b 11.873
_cell_length_c 4.202
_cell_angle_alpha 90.00
_cell_angle_beta 90.00
_cell_angle_gamma 90.00
loop_
_atom_site_label
_atom_site_fract_x
_atom_site_fract_y
_atom_site_fract_z
La1 0.000 0.000 0.000
Tb1 0.000 0.500 0.000
Tb2 0.250 0.250 0.500
As1 0.000 0.254 0.000
As2 0.242 0.500 0.500

***

# PmLuMn4 GGA-PBE relaxed
# Density of states at the Fermi level (states/eV/f.u.): 7.452
# Energy (eV/atom): -7.48
# Calculated volume (Å³/cell): 385.3
data_PmLuMn4
_chemical_formula_sum 'Pm4 Lu4 Mn16'
_symmetry_space_group_name_H-M 'F -4 3 m'
_symmetry_Int_Tables_number 216
_symmetry_space_group_name_Hall 'F -4 2 3'
_cell_length_a 7.277
_cell_length_b 7.277
_cell_length_c 7.277
_cell_angle_alpha 90.00
_cell_angle_beta 90.00
_cell_angle_gamma 90.00
loop_
_atom_site_label
_atom_site_fract_x
_atom_site_fract_y
_atom_site_fract_z
Pm1 0.000 0.000 0.000
Lu1 0.250 0.250 0.750
Mn1 0.124 0.124 0.376

***

# Mn5Sn3N12 GGA-PBE relaxed
# Formation energy from raw total energies (meV per atom): 275
# Density of states at the Fermi level (states/eV/f.u.): 5.073
# Calculated volume (Å³/cell): 1784.8
data_Mn5Sn3N12
_chemical_formula_sum 'Mn40 Sn24 N96'
_symmetry_space_group_name_H-M 'I a -3 d'
_symmetry_Int_Tables_number 230
_symmetry_space_group_name_Hall '-I 4bd 2c 3'
_cell_length_a 12.130
_cell_length_b 12.130
_cell_length_c 12.130
_cell_angle_alpha 90.00
_cell_angle_beta 90.00
_cell_angle_gamma 90.00
loop_
_atom_site_label
_atom_site_fract_x
_atom_site_fract_y
_atom_site_fract_z
Mn1 0.000 0.000 0.000
Mn2 0.000 0.250 0.375
Sn1 0.000 0.250 0.125
N1 0.035 0.051 0.651

***

# TaTe2IBr GGA-PBE relaxed
# Formation energy from raw total energies (meV per atom): 1665
# Density of states at the Fermi level (states/eV/f.u.): 9.779
# Calculated volume (Å³/cell): 168.6
# Energy relative to the lowest polymorph listed for this composition (meV per atom): 1569
data_TaTe2IBr
_chemical_formula_sum 'Ta1 Te2 I1 Br1'
_symmetry_space_group_name_H-M 'P 4/m m m'
_symmetry_Int_Tables_number 123
_symmetry_space_group_name_Hall '-P 4 2'
_cell_length_a 5.569
_cell_length_b 5.569
_cell_length_c 5.437
_cell_angle_alpha 90.00
_cell_angle_beta 90.00
_cell_angle_gamma 90.00
loop_
_atom_site_label
_atom_site_fract_x
_atom_site_fract_y
_atom_site_fract_z
Ta1 0.000 0.000 0.000
Te1 0.000 0.500 0.500
I1 0.500 0.500 0.000
Br1 0.500 0.500 0.500

***

# Nd2SmDy4 GGA-PBE relaxed
# Density of states at the Fermi level (states/eV/f.u.): 12.174
# Calculated volume (Å³/cell): 986.6
# Energy relative to the lowest polymorph listed for this composition (meV per atom): 107
data_Nd2SmDy4
_chemical_formula_sum 'Nd8 Sm4 Dy16'
_symmetry_space_group_name_H-M 'C 1 2/m 1'
_symmetry_Int_Tables_number 12
_symmetry_space_group_name_Hall '-C 2y'
_cell_length_a 10.969
_cell_length_b 10.969
_cell_length_c 8.200
_cell_angle_alpha 90.00
_cell_angle_beta 90.14
_cell_angle_gamma 90.00
loop_
_atom_site_label
_atom_site_fract_x
_atom_site_fract_y
_atom_site_fract_z
Nd1 0.000 0.000 0.000
Nd2 0.000 0.000 0.500
Nd3 0.250 0.250 0.000
Sm1 0.000 0.500 0.000
Sm2 0.000 0.500 0.500
Dy1 0.001 0.251 0.281
Dy2 0.249 0.500 0.281
Dy3 0.249 0.500 0.719

***

# PuTaCo2H8 GGA-PBE relaxed
# Density of states at the Fermi level (states/eV/f.u.): 10.299
# Energy (eV/atom): -5.64
# Calculated volume (Å³/cell): 292.8
data_PuTaCo2H8
_chemical_formula_sum 'Pu3 Ta3 Co6 H24'
_symmetry_space_group_name_H-M 'R -3'
_symmetry_Int_Tables_number 148
_symmetry_space_group_name_Hall '-R 3'
_cell_length_a 4.2277
_cell_length_b 4.2277
_cell_length_c 18.9166
_cell_angle_alpha 90.00
_cell_angle_beta 90.00
_cell_angle_gamma 120.00
loop_
_atom_site_label
_atom_site_fract_x
_atom_site_fract_y
_atom_site_fract_z
Pu1 0.0000 0.0000 0.0000
Ta1 0.0000 0.0000 0.5000
Co1 0.0000 0.0000 0.2253
H1 0.0000 0.0000 0.3112
H2 0.0016 0.3743 0.7612

***

# LaMo2Se GGA-PBE relaxed
# Formation energy from raw total energies (meV per atom): 480
# Density of states at the Fermi level (states/eV/f.u.): 6.924
# Calculated volume (Å³/cell): 80.4
data_LaMo2Se
_chemical_formula_sum 'La1 Mo2 Se1'
_symmetry_space_group_name_H-M 'P 4/m m m'
_symmetry_Int_Tables_number 123
_symmetry_space_group_name_Hall '-P 4 2'
_cell_length_a 3.243
_cell_length_b 3.243
_cell_length_c 7.646
_cell_angle_alpha 90.00
_cell_angle_beta 90.00
_cell_angle_gamma 90.00
loop_
_atom_site_label
_atom_site_fract_x
_atom_site_fract_y
_atom_site_fract_z
La1 0.000 0.000 0.000
Mo1 0.500 0.500 0.323
Se1 0.000 0.000 0.500

***

# Dy2PuN4 GGA-PBE relaxed
# Formation energy from raw total energies (meV per atom): -1167
# Density of states at the Fermi level (states/eV/f.u.): 3.176
# Calculated volume (Å³/cell): 209.3
data_Dy2PuN4
_chemical_formula_sum 'Dy4 Pu2 N8'
_symmetry_space_group_name_H-M 'C 1 2/m 1'
_symmetry_Int_Tables_number 12
_symmetry_space_group_name_Hall '-C 2y'
_cell_length_a 11.761
_cell_length_b 3.481
_cell_length_c 5.822
_cell_angle_alpha 90.00
_cell_angle_beta 118.56
_cell_angle_gamma 90.00
loop_
_atom_site_label
_atom_site_fract_x
_atom_site_fract_y
_atom_site_fract_z
Dy1 0.193 0.000 0.196
Pu1 0.000 0.500 0.500
N1 0.118 0.500 0.345
N2 0.131 0.000 0.759

***

# BaSrI2O8 GGA-PBE relaxed
# Formation energy from raw total energies (meV per atom): -1119
# Density of states at the Fermi level (states/eV/f.u.): 4.636
# Calculated volume (Å³/cell): 660.7
data_BaSrI2O8
_chemical_formula_sum 'Ba3 Sr3 I6 O24'
_symmetry_space_group_name_H-M 'R -3'
_symmetry_Int_Tables_number 148
_symmetry_space_group_name_Hall '-R 3'
_cell_length_a 5.8716
_cell_length_b 5.8716
_cell_length_c 22.1304
_cell_angle_alpha 90.00
_cell_angle_beta 90.00
_cell_angle_gamma 120.00
loop_
_atom_site_label
_atom_site_fract_x
_atom_site_fract_y
_atom_site_fract_z
Ba1 0.0000 0.0000 0.0000
Sr1 0.0000 0.0000 0.5000
I1 0.0000 0.0000 0.2416
O1 0.0000 0.0000 0.3234
O2 0.0009 0.3587 0.5654

***

# KNd2AgBr8 GGA-PBE relaxed
# Formation energy from raw total energies (meV per atom): -1567
# Density of states at the Fermi level (states/eV/f.u.): 0.000
# Calculated volume (Å³/cell): 453.7
data_KNd2AgBr8
_chemical_formula_sum 'K1 Nd2 Ag1 Br8'
_symmetry_space_group_name_H-M 'P 1 2/m 1'
_symmetry_Int_Tables_number 10
_symmetry_space_group_name_Hall '-P 2y'
_cell_length_a 7.027
_cell_length_b 8.901
_cell_length_c 7.293
_cell_angle_alpha 90.00
_cell_angle_beta 95.92
_cell_angle_gamma 90.00
loop_
_atom_site_label
_atom_site_fract_x
_atom_site_fract_y
_atom_site_fract_z
K1 0.000 0.000 0.000
Nd1 0.500 0.257 0.500
Ag1 0.000 0.500 0.000
Br1 0.249 0.277 0.166
Br2 0.275 0.500 0.645
Br3 0.284 0.000 0.636